1.
# La3NdP4, optimized geometry, DFT PBE
data_La3NdP4
_space_group_name_H-M_alt 'P 1'
_space_group_IT_number 1
_cell_length_a 4.252
_cell_length_b 7.358
_cell_length_c 7.358
_cell_angle_alpha 109.44
_cell_angle_beta 90.00
_cell_angle_gamma 90.00
loop_
_space_group_symop_operation_xyz
'x,y,z'
loop_
_atom_site_label
_atom_site_type_symbol
_atom_site_fract_x
_atom_site_fract_y
_atom_site_fract_z
La1 La 0.000 0.000 0.500
La2 La 0.500 0.500 0.500
La3 La 0.000 0.500 0.000
Nd1 Nd 0.500 0.000 0.000
P1 P 0.000 0.247 0.247
P2 P 0.500 0.752 0.248
P3 P 0.000 0.753 0.753
P4 P 0.500 0.248 0.752
# * D(E_F): 0.76 states/eV/f.u.
# * calculated formation energy: -1.57 eV per atom

---

2.
# CeSmI4, optimized geometry, DFT PBE
data_CeSmI4
_space_group_name_H-M_alt 'P 1'
_space_group_IT_number 1
_cell_length_a 6.281
_cell_length_b 6.281
_cell_length_c 7.544
_cell_angle_alpha 114.60
_cell_angle_beta 114.60
_cell_angle_gamma 90.00
loop_
_space_group_symop_operation_xyz
'x,y,z'
loop_
_atom_site_label
_atom_site_type_symbol
_atom_site_fract_x
_atom_site_fract_y
_atom_site_fract_z
Ce1 Ce 0.500 0.500 0.000
Sm1 Sm 0.250 0.750 0.500
I1 I 0.990 0.490 0.981
I2 I 0.764 0.764 0.529
I3 I 0.510 0.010 0.019
I4 I 0.236 0.236 0.471
# * formation energy without anion corrections: -1.160 eV/atom
# * D(E_F): 10.29 states/eV/f.u.
# * energy above the lowest structure with this stoichiometry: 0.0872 eV per atom

---

3.
# BaCaCo2, optimized geometry, DFT PBE
data_BaCaCo2
_space_group_name_H-M_alt 'P 1'
_space_group_IT_number 1
_cell_length_a 7.219
_cell_length_b 7.219
_cell_length_c 7.219
_cell_angle_alpha 148.47
_cell_angle_beta 144.25
_cell_angle_gamma 48.40
loop_
_space_group_symop_operation_xyz
'x,y,z'
loop_
_atom_site_label
_atom_site_type_symbol
_atom_site_fract_x
_atom_site_fract_y
_atom_site_fract_z
Ca1 Ca 0.737 0.237 0.500
Co1 Co 0.100 0.100 0.000
Co2 Co 0.175 0.675 0.500
Ba1 Ba 0.488 0.488 0.000
# * D(E_F): 4.40 states/eV/f.u.
# * calculated formation energy: 0.32 eV per atom
# * energy above the lowest structure with this stoichiometry: 0.1800 eV per atom

---

4.
# Tm4GaRh, optimized geometry, DFT PBE
data_Tm4GaRh
_space_group_name_H-M_alt 'P 1'
_space_group_IT_number 1
_cell_length_a 9.349
_cell_length_b 9.349
_cell_length_c 9.349
_cell_angle_alpha 60.00
_cell_angle_beta 60.00
_cell_angle_gamma 60.00
loop_
_space_group_symop_operation_xyz
'x,y,z'
loop_
_atom_site_label
_atom_site_type_symbol
_atom_site_fract_x
_atom_site_fract_y
_atom_site_fract_z
Tm1 Tm 0.394 0.394 0.394
Tm2 Tm 0.819 0.394 0.394
Tm3 Tm 0.394 0.819 0.394
Tm4 Tm 0.394 0.394 0.819
Tm5 Tm 0.558 0.558 0.942
Tm6 Tm 0.942 0.942 0.558
Tm7 Tm 0.558 0.942 0.558
Tm8 Tm 0.942 0.558 0.942
Tm9 Tm 0.942 0.558 0.558
Tm10 Tm 0.558 0.942 0.942
Tm11 Tm 0.187 0.187 0.813
Tm12 Tm 0.813 0.813 0.187
Tm13 Tm 0.187 0.813 0.187
Tm14 Tm 0.813 0.187 0.813
Tm15 Tm 0.813 0.187 0.187
Tm16 Tm 0.187 0.813 0.813
Ga1 Ga 0.167 0.167 0.167
Ga2 Ga 0.499 0.167 0.167
Ga3 Ga 0.167 0.499 0.167
Ga4 Ga 0.167 0.167 0.499
Rh1 Rh 0.606 0.606 0.606
Rh2 Rh 0.183 0.606 0.606
Rh3 Rh 0.606 0.183 0.606
Rh4 Rh 0.606 0.606 0.183
# * D(E_F): 2.90 states/eV/f.u.
# * calculated formation energy: -0.60 eV per atom
# * energy above the lowest structure with this stoichiometry: 0.0000 eV per atom

---

Which of these has the lowest D(E_F)? La3NdP4